<A>
Material: KHgAsO
Method: DFT, PBE-GGA
State: optimized geometry

a = 4.774 Å, b = 4.774 Å, c = 7.017 Å
α = 90.00°, β = 90.00°, γ = 90.00°
Positions (direct):
K 0.250 0.250 0.151
K 0.750 0.750 0.849
Hg 0.250 0.750 0.500
Hg 0.750 0.250 0.500
As 0.250 0.250 0.723
As 0.750 0.750 0.277
O 0.250 0.750 0.000
O 0.750 0.250 0.000

***

<B>
Material: KHgAsO
Method: DFT, PBE-GGA
State: optimized geometry

a = 4.100 Å, b = 7.988 Å, c = 5.435 Å
α = 90.00°, β = 90.00°, γ = 90.00°
Positions (direct):
K 0.000 0.136 0.000
K 0.000 0.864 0.500
Hg 0.500 0.230 0.500
Hg 0.500 0.770 0.000
As 0.000 0.447 0.509
As 0.000 0.553 0.009
O 0.500 0.001 0.252
O 0.500 0.999 0.752

***

Which structure loses on stability? <A> does.

***

<A>
Material: KHgAsO
Method: DFT, PBE-GGA
State: optimized geometry

a = 4.511 Å, b = 4.511 Å, c = 9.065 Å
α = 90.00°, β = 90.00°, γ = 90.00°
Positions (direct):
K 0.250 0.750 0.000
K 0.750 0.250 0.000
Hg 0.250 0.250 0.263
Hg 0.750 0.750 0.737
As 0.250 0.250 0.560
As 0.750 0.750 0.440
O 0.250 0.750 0.500
O 0.750 0.250 0.500

***

<B>
Material: KHgAsO
Method: DFT, PBE-GGA
State: optimized geometry

a = 3.361 Å, b = 9.729 Å, c = 5.448 Å
α = 90.00°, β = 90.00°, γ = 90.00°
Positions (direct):
K 0.000 0.122 0.000
K 0.000 0.878 0.500
Hg 0.500 0.292 0.499
Hg 0.500 0.708 0.999
As 0.500 0.444 0.996
As 0.500 0.556 0.496
O 0.000 0.140 0.500
O 0.000 0.860 0.000

***

Which structure loses on stability? <A> does.

***

<A>
Material: LiHgAsO
Method: DFT, PBE-GGA
State: optimized geometry

a = 4.046 Å, b = 4.046 Å, c = 7.543 Å
α = 90.00°, β = 90.00°, γ = 90.00°
Positions (direct):
Li 0.250 0.250 0.113
Li 0.750 0.750 0.887
Hg 0.250 0.750 0.500
Hg 0.750 0.250 0.500
As 0.250 0.250 0.790
As 0.750 0.750 0.210
O 0.250 0.750 0.000
O 0.750 0.250 0.000

***

<B>
Material: LiHgAsO
Method: DFT, PBE-GGA
State: optimized geometry

a = 3.246 Å, b = 7.397 Å, c = 5.888 Å
α = 90.00°, β = 90.00°, γ = 90.00°
Positions (direct):
Li 0.000 0.076 0.000
Li 0.000 0.924 0.500
Hg 0.500 0.304 0.345
Hg 0.500 0.696 0.845
As 0.500 0.357 0.826
As 0.500 0.643 0.326
O 0.000 0.101 0.301
O 0.000 0.899 0.801

***

<C>
Material: LiHgAsO
Method: DFT, PBE-GGA
State: optimized geometry

a = 4.281 Å, b = 4.281 Å, c = 7.907 Å
α = 90.00°, β = 90.00°, γ = 90.00°
Positions (direct):
Li 0.250 0.750 0.000
Li 0.750 0.250 0.000
Hg 0.250 0.250 0.218
Hg 0.750 0.750 0.782
As 0.250 0.250 0.571
As 0.750 0.750 0.429
O 0.250 0.750 0.500
O 0.750 0.250 0.500

***

Which structure loses on stability? <C> does.

***

<A>
Material: LuHgAs
Method: DFT, PBE-GGA
State: optimized geometry

Values from the calculation:
Spin magnetization, μB per formula unit: 0.00

a = 4.819 Å, b = 4.819 Å, c = 4.819 Å
α = 60.00°, β = 60.00°, γ = 60.00°
Positions (direct):
Lu 0.000 0.000 0.000
Hg 0.250 0.250 0.250
As 0.750 0.750 0.750

***

<B>
Material: LuHgAs
Method: DFT, PBE-GGA
State: optimized geometry

Values from the calculation:
Spin magnetization, μB per formula unit: 0.04

a = 4.793 Å, b = 4.793 Å, c = 4.793 Å
α = 60.00°, β = 60.00°, γ = 60.00°
Positions (direct):
Lu 0.000 0.000 0.000
Hg 0.500 0.500 0.500
As 0.750 0.750 0.750

***

Which structure loses on stability? <B> does.

***

<A>
Material: LuNiHgAs
Method: DFT, PBE-GGA
State: optimized geometry

Values from the calculation:
Spin magnetization, μB per formula unit: 0.01

a = 4.733 Å, b = 4.733 Å, c = 4.733 Å
α = 60.00°, β = 60.00°, γ = 60.00°
Positions (direct):
Lu 0.000 0.000 0.000
Ni 0.500 0.500 0.500
Hg 0.750 0.750 0.750
As 0.250 0.250 0.250

***

<B>
Material: LuNiHgAs
Method: DFT, PBE-GGA
State: optimized geometry

Values from the calculation:
Spin magnetization, μB per formula unit: 0.00

a = 4.768 Å, b = 4.768 Å, c = 4.768 Å
α = 60.00°, β = 60.00°, γ = 60.00°
Positions (direct):
Lu 0.000 0.000 0.000
Ni 0.750 0.750 0.750
Hg 0.250 0.250 0.250
As 0.500 0.500 0.500

***

Which structure loses on stability? <B> does.

***

<A>
Material: HgMoAs
Method: DFT, PBE-GGA
State: optimized geometry

Values from the calculation:
Spin magnetization, μB per formula unit: 1.04

a = 4.469 Å, b = 4.469 Å, c = 4.469 Å
α = 60.00°, β = 60.00°, γ = 60.00°
Positions (direct):
Hg 0.000 0.000 0.000
Mo 0.750 0.750 0.750
As 0.500 0.500 0.500

***

<B>
Material: HgMoAs
Method: DFT, PBE-GGA
State: optimized geometry

Values from the calculation:
Spin magnetization, μB per formula unit: 0.24

a = 4.388 Å, b = 4.388 Å, c = 4.388 Å
α = 60.00°, β = 60.00°, γ = 60.00°
Positions (direct):
Hg 0.000 0.000 0.000
Mo 0.500 0.500 0.500
As 0.250 0.250 0.250

***

Which structure loses on stability? <B> does.

***

<A>
Material: NiHgMoAs
Method: DFT, PBE-GGA
State: optimized geometry

Values from the calculation:
Spin magnetization, μB per formula unit: 2.84

a = 4.618 Å, b = 4.618 Å, c = 4.618 Å
α = 60.00°, β = 60.00°, γ = 60.00°
Positions (direct):
Ni 0.000 0.000 0.000
Hg 0.500 0.500 0.500
Mo 0.250 0.250 0.250
As 0.750 0.750 0.750

***

<B>
Material: NiHgMoAs
Method: DFT, PBE-GGA
State: optimized geometry

Values from the calculation:
Spin magnetization, μB per formula unit: 0.00

a = 4.476 Å, b = 4.476 Å, c = 4.476 Å
α = 60.00°, β = 60.00°, γ = 60.00°
Positions (direct):
Ni 0.000 0.000 0.000
Hg 0.250 0.250 0.250
Mo 0.500 0.500 0.500
As 0.750 0.750 0.750

***

Which structure loses on stability? <A> does.

***

<A>
Material: NaHgAsPd
Method: DFT, PBE-GGA
State: optimized geometry

a = 4.740 Å, b = 4.740 Å, c = 4.740 Å
α = 60.00°, β = 60.00°, γ = 60.00°
Positions (direct):
Na 0.000 0.000 0.000
Hg 0.750 0.750 0.750
As 0.250 0.250 0.250
Pd 0.500 0.500 0.500

***

<B>
Material: NaHgAsPd
Method: DFT, PBE-GGA
State: optimized geometry

a = 4.767 Å, b = 4.767 Å, c = 4.767 Å
α = 60.00°, β = 60.00°, γ = 60.00°
Positions (direct):
Na 0.000 0.000 0.000
Hg 0.750 0.750 0.750
As 0.500 0.500 0.500
Pd 0.250 0.250 0.250

***

<C>
Material: NaHgAsPd
Method: DFT, PBE-GGA
State: optimized geometry

a = 4.792 Å, b = 4.792 Å, c = 4.792 Å
α = 60.00°, β = 60.00°, γ = 60.00°
Positions (direct):
Na 0.000 0.000 0.000
Hg 0.500 0.500 0.500
As 0.750 0.750 0.750
Pd 0.250 0.250 0.250

***

Which structure loses on stability? <C> does.